(1)
Compound: CoHClO
Source: Alexandria via LeMat-Bulk
Functional: GGA+U
Structure: optimized geometry

Cell lengths 3.390, 3.390, 15.952 Å; angles 90.00, 90.00, 120.00 degrees
Sites, in units of the cell vectors:
Co 0.000 0.000 0.000
Co 0.333 0.667 0.667
Co 0.667 0.333 0.333
H 0.000 0.000 0.779
H 0.333 0.667 0.446
H 0.667 0.333 0.112
Cl 0.000 0.000 0.235
Cl 0.333 0.667 0.902
Cl 0.667 0.333 0.569
O 0.000 0.000 0.718
O 0.333 0.667 0.384
O 0.667 0.333 0.051

Values from the calculation:
space group	R3m
D(E_F)	0.0	states/eV/cell
final energy	-4.7917	eV per atom
calculated volume	158.8	Å³ per cell

---

(2)
Compound: CoH12Cl2O6
Source: Alexandria via LeMat-Bulk
Functional: GGA+U
Structure: optimized geometry

Cell lengths 6.301, 6.301, 6.804 Å; angles 116.64, 116.64, 68.24 degrees
Sites, in units of the cell vectors:
Co 0.000 0.000 0.000
H 0.182 0.182 0.546
H 0.197 0.581 0.724
H 0.217 0.674 0.222
H 0.263 0.263 0.824
H 0.326 0.783 0.778
H 0.419 0.803 0.276
H 0.581 0.197 0.724
H 0.674 0.217 0.222
H 0.737 0.737 0.176
H 0.783 0.326 0.778
H 0.803 0.419 0.276
H 0.818 0.818 0.454
Cl 0.276 0.276 0.145
Cl 0.724 0.724 0.855
O 0.168 0.758 0.750
O 0.242 0.832 0.250
O 0.281 0.281 0.695
O 0.719 0.719 0.305
O 0.758 0.168 0.750
O 0.832 0.242 0.250

Values from the calculation:
space group	C2/m
D(E_F)	0.0	states/eV/cell
final energy	-4.7808	eV per atom
calculated volume	211.0	Å³ per cell

---

(3)
Compound: CoH5SeClO5
Source: Alexandria via LeMat-Bulk
Functional: GGA+U
Structure: optimized geometry

Cell lengths 9.442, 17.381, 7.390 Å; angles 90.00, 90.00, 90.00 degrees
Sites, in units of the cell vectors:
Co 0.000 0.000 0.000
Co 0.000 0.500 0.000
Co 0.154 0.250 0.060
Co 0.346 0.750 0.560
Co 0.500 0.000 0.500
Co 0.500 0.500 0.500
Co 0.654 0.250 0.440
Co 0.846 0.750 0.940
H 0.042 0.063 0.397
H 0.042 0.437 0.397
H 0.089 0.203 0.400
H 0.089 0.297 0.400
H 0.157 0.664 0.743
H 0.157 0.836 0.743
H 0.191 0.706 0.259
H 0.191 0.794 0.259
H 0.236 0.608 0.605
H 0.236 0.892 0.605
H 0.264 0.108 0.105
H 0.264 0.392 0.105
H 0.309 0.206 0.759
H 0.309 0.294 0.759
H 0.343 0.164 0.243
H 0.343 0.336 0.243
H 0.411 0.703 0.900
H 0.411 0.797 0.900
H 0.458 0.563 0.897
H 0.458 0.937 0.897
H 0.542 0.063 0.103
H 0.542 0.437 0.103
H 0.589 0.203 0.100
H 0.589 0.297 0.100
H 0.657 0.664 0.757
H 0.657 0.836 0.757
H 0.691 0.706 0.241
H 0.691 0.794 0.241
H 0.736 0.608 0.895
H 0.736 0.892 0.895
H 0.764 0.108 0.395
H 0.764 0.392 0.395
H 0.809 0.206 0.741
H 0.809 0.294 0.741
H 0.843 0.164 0.257
H 0.843 0.336 0.257
H 0.911 0.703 0.600
H 0.911 0.797 0.600
H 0.958 0.563 0.603
H 0.958 0.937 0.603
Se 0.184 0.052 0.657
Se 0.184 0.448 0.657
Se 0.316 0.552 0.157
Se 0.316 0.948 0.157
Se 0.684 0.052 0.843
Se 0.684 0.448 0.843
Se 0.816 0.552 0.343
Se 0.816 0.948 0.343
Cl 0.024 0.649 0.027
Cl 0.024 0.851 0.027
Cl 0.476 0.149 0.527
Cl 0.476 0.351 0.527
Cl 0.524 0.649 0.473
Cl 0.524 0.851 0.473
Cl 0.976 0.149 0.973
Cl 0.976 0.351 0.973
O 0.044 0.504 0.728
O 0.044 0.996 0.728
O 0.084 0.250 0.325
O 0.103 0.101 0.469
O 0.103 0.399 0.469
O 0.204 0.663 0.625
O 0.204 0.837 0.625
O 0.215 0.016 0.050
O 0.215 0.484 0.050
O 0.249 0.250 0.792
O 0.251 0.750 0.292
O 0.285 0.516 0.550
O 0.285 0.984 0.550
O 0.296 0.163 0.125
O 0.296 0.337 0.125
O 0.397 0.601 0.969
O 0.397 0.899 0.969
O 0.416 0.750 0.825
O 0.456 0.004 0.228
O 0.456 0.496 0.228
O 0.544 0.504 0.772
O 0.544 0.996 0.772
O 0.584 0.250 0.175
O 0.603 0.101 0.031
O 0.603 0.399 0.031
O 0.704 0.663 0.875
O 0.704 0.837 0.875
O 0.715 0.016 0.450
O 0.715 0.484 0.450
O 0.749 0.250 0.708
O 0.751 0.750 0.208
O 0.785 0.516 0.950
O 0.785 0.984 0.950
O 0.796 0.163 0.375
O 0.796 0.337 0.375
O 0.897 0.601 0.531
O 0.897 0.899 0.531
O 0.916 0.750 0.675
O 0.956 0.004 0.272
O 0.956 0.496 0.272

Values from the calculation:
space group	Pnma
D(E_F)	0.0	states/eV/cell
final energy	-4.9712	eV per atom
calculated volume	1212.9	Å³ per cell